No. 1
La3Si2S8Br: relaxed, GGA-PBE.

Values from the calculation:
Magnetic moment, μB per atom: 0.000
E_form (uncorrected), meV per atom: -1586

Cell: 8.888 8.888 11.082 Å, 84.03 84.03 52.71°
Atoms (fractional coordinates):
La1 0.074 0.316 0.815
La2 0.397 0.603 0.750
La3 0.316 0.074 0.315
La4 0.603 0.397 0.250
La5 0.926 0.684 0.185
La6 0.684 0.926 0.685
Si1 0.626 0.695 0.968
Si2 0.305 0.374 0.532
Si3 0.695 0.626 0.468
Si4 0.374 0.305 0.032
S1 0.744 0.555 0.656
S2 0.145 0.289 0.085
S3 0.892 0.402 0.353
S4 0.281 0.584 0.053
S5 0.289 0.145 0.585
S6 0.445 0.256 0.844
S7 0.719 0.416 0.947
S8 0.416 0.719 0.447
S9 0.402 0.892 0.853
S10 0.855 0.711 0.915
S11 0.711 0.855 0.415
S12 0.555 0.744 0.156
S13 0.584 0.281 0.553
S14 0.256 0.445 0.344
S15 0.598 0.108 0.147
S16 0.108 0.598 0.647
Br1 0.001 0.999 0.250
Br2 0.999 0.001 0.750

=====

No. 2
LaSmSBr: relaxed, GGA-PBE.

Values from the calculation:
Magnetic moment, μB per atom: 0.063
E_form (uncorrected), meV per atom: -1626

Cell: 3.992 3.994 8.059 Å, 90.00 104.33 120.01°
Last column: magnetic moment on the atom in μB.
Atoms (fractional coordinates):
La1 0.501 0.148 0.665  0.09
Sm1 0.107 0.951 0.073  0.01
S1 0.311 0.553 0.879  0.00
Br1 0.959 0.378 0.352  0.00

=====

Copy entry 1 word for word.
La3Si2S8Br: relaxed, GGA-PBE.

Values from the calculation:
Magnetic moment, μB per atom: 0.000
E_form (uncorrected), meV per atom: -1586

Cell: 8.888 8.888 11.082 Å, 84.03 84.03 52.71°
Atoms (fractional coordinates):
La1 0.074 0.316 0.815
La2 0.397 0.603 0.750
La3 0.316 0.074 0.315
La4 0.603 0.397 0.250
La5 0.926 0.684 0.185
La6 0.684 0.926 0.685
Si1 0.626 0.695 0.968
Si2 0.305 0.374 0.532
Si3 0.695 0.626 0.468
Si4 0.374 0.305 0.032
S1 0.744 0.555 0.656
S2 0.145 0.289 0.085
S3 0.892 0.402 0.353
S4 0.281 0.584 0.053
S5 0.289 0.145 0.585
S6 0.445 0.256 0.844
S7 0.719 0.416 0.947
S8 0.416 0.719 0.447
S9 0.402 0.892 0.853
S10 0.855 0.711 0.915
S11 0.711 0.855 0.415
S12 0.555 0.744 0.156
S13 0.584 0.281 0.553
S14 0.256 0.445 0.344
S15 0.598 0.108 0.147
S16 0.108 0.598 0.647
Br1 0.001 0.999 0.250
Br2 0.999 0.001 0.750